Entry 1:
Material: AlIr2Pd
Method: DFT, GGA-PBE
State: relaxed

The calculation puts the formation energy at -1.4 eV per formula unit. The total magnetic moment comes out at 0.000 μB/atom. As for the density of states at the Fermi level: 2.98 states/eV/f.u.

The structure belongs to space group P4/mmm (No. 123); the cell edges are 3.910, 3.910 and 3.789 Å and the angles 90.00°, 90.00° and 90.00°. Symmetry generates all atoms from Al at (0.000, 0.000, 0.000), Ir at (0.000, 0.500, 0.500) and Pd at (0.500, 0.500, 0.000).


Entry 2:
Material: Al3IrPd
Method: DFT, GGA-PBE
State: relaxed

The calculation puts the formation energy at -0.6 eV per formula unit. The total magnetic moment comes out at 0.000 μB/atom. As for the density of states at the Fermi level: 2.54 states/eV/f.u. The energy above the most stable polymorph in this dataset is 0.000 kcal/mol of atoms.

The structure belongs to space group Pm-3m (No. 221); the cell edges are 4.672, 4.672 and 4.672 Å and the angles 90.00°, 90.00° and 90.00°. Symmetry generates all atoms from Al at (0.000, 0.000, 0.500), Ir at (0.000, 0.000, 0.000) and Pd at (0.500, 0.500, 0.500).


Entry 3:
Material: Pm2Al4IrPd3
Method: DFT, GGA-PBE
State: relaxed

The calculation puts the formation energy at -8.7 eV per formula unit. The total magnetic moment comes out at 0.000 μB/atom. As for the density of states at the Fermi level: 7.10 states/eV/f.u.

The structure belongs to space group P-4m2 (No. 115); the cell edges are 4.314, 4.314 and 10.209 Å and the angles 90.00°, 90.00° and 90.00°. Symmetry generates all atoms from Pm at (0.000, 0.500, 0.244), Al at (0.000, 0.000, 0.500), Al at (0.000, 0.500, 0.875), Al at (0.500, 0.500, 0.500), Ir at (0.500, 0.500, 0.000), Pd at (0.000, 0.000, 0.000) and Pd at (0.000, 0.500, 0.632).